Y2Ni2F | GGA+U | relaxed

Geometry as CIF:
```
data_Y2Ni2F
_chemical_formula_sum 'Y4 Ni4 F2'
_space_group_name_H-M_alt 'P 4/m b m'
_space_group_IT_number 127
_space_group_name_Hall '-P 4 2ab'
_cell_length_a 7.382
_cell_length_b 7.382
_cell_length_c 3.392
_cell_angle_alpha 90.00
_cell_angle_beta 90.00
_cell_angle_gamma 90.00
loop_
_atom_site_label
_atom_site_fract_x
_atom_site_fract_y
_atom_site_fract_z
Y1 0.181 0.319 0.000
Ni1 0.113 0.613 0.500
F1 0.000 0.000 0.500
```

Summary:
Uncorrected energy: -42.1 eV for the cell shown
M_tot: 0.00 μB per cell
Distance to the lowest polymorph of the same formula: 0.000 eV/atom